(1)
A plane-wave DFT calculation with PBE was carried out for an optimized crystal structure of ReTc2HRu.

The space group is P4/mmm (No. 123) and the conventional cell measures 3.911, 3.911 and 3.934 Å, with angles of 90.00, 90.00 and 90.00 degrees. The asymmetric unit holds Re at (0.000, 0.000, 0.000), Tc at (0.000, 0.500, 0.500), H at (0.000, 0.000, 0.500) and Ru at (0.500, 0.500, 0.000).

The value obtained for the uncorrected energy is -9.07 eV/atom. The calculation puts the total magnetic moment at 0.0 μB/f.u.

=====

(2)
A plane-wave DFT calculation with PBE was carried out for an optimized crystal structure of Tc2P.

The space group is I4_1/amd (No. 141, origin choice 2) and the conventional cell measures 4.235, 4.235 and 18.799 Å, with angles of 90.00, 90.00 and 90.00 degrees. The asymmetric unit holds Tc at (0.000, 0.250, 0.120), Tc at (0.000, 0.250, 0.278) and P at (0.000, 0.250, 0.805).

As for the formation energy: -19 kJ/mol of formula units. The value obtained for the uncorrected energy is -8.78 eV/atom. The calculation puts the total magnetic moment at 0.0 μB/f.u.